No. 1
{"formula": "YSiAg2", "functional": "GGA-PBEsol", "state": "relaxed", "lattice": [[4.236, 0.000, 0.000], [0.000, 3.314, 0.000], [0.000, 0.000, 10.844]], "species": ["Y", "Y", "Si", "Si", "Ag", "Ag", "Ag", "Ag"], "frac_coords": [[0.000, 0.000, 0.000], [0.000, 0.500, 0.500], [0.500, 0.000, 0.603], [0.500, 0.500, 0.103], [0.000, 0.000, 0.734], [0.000, 0.500, 0.234], [0.500, 0.000, 0.327], [0.500, 0.500, 0.827]], "volume_a3_per_atom": 19.025, "magnetic_moment_mub_per_cell": 0.00, "final_energy_ha_per_atom": -0.186, "rho_g_cm3": 7.260}

---

No. 2
{"formula": "NbPHCl2", "functional": "GGA-PBEsol", "state": "relaxed", "lattice": [[4.855, 0.000, 0.000], [0.000, 4.855, 0.000], [0.000, 0.000, 4.800]], "species": ["Nb", "P", "H", "Cl", "Cl"], "frac_coords": [[0.000, 0.000, 0.000], [0.000, 0.000, 0.500], [0.500, 0.500, 0.500], [0.000, 0.500, 0.000], [0.500, 0.000, 0.000]], "volume_a3_per_atom": 22.629, "magnetic_moment_mub_per_cell": 0.70, "de_polymorph_mev_per_atom": 0, "rho_g_cm3": 2.873}

---

No. 3
{"formula": "ZrCd2Hg", "functional": "GGA-PBEsol", "state": "relaxed", "lattice": [[3.002, 0.000, 0.000], [0.000, 4.323, 0.000], [0.000, 0.000, 6.327]], "species": ["Zr", "Cd", "Cd", "Hg"], "frac_coords": [[0.000, 0.000, 0.000], [0.000, 0.000, 0.499], [0.500, 0.500, 0.260], [0.500, 0.500, 0.764]], "volume_a3_per_atom": 20.527, "magnetic_moment_mub_per_cell": 0.00, "formation_energy_ev_per_fu": -0.33, "rho_g_cm3": 10.448}

---

No. 4
{"formula": "Mg2OsPb", "functional": "GGA-PBEsol", "state": "relaxed", "lattice": [[9.844, 0.000, 0.000], [0.000, 3.409, 0.000], [-1.644, 0.000, 4.456]], "species": ["Mg", "Mg", "Mg", "Mg", "Os", "Os", "Pb", "Pb"], "frac_coords": [[0.000, 0.000, 0.000], [0.231, 0.000, 0.763], [0.500, 0.500, 0.000], [0.731, 0.500, 0.763], [0.005, 0.500, 0.497], [0.505, 0.000, 0.497], [0.266, 0.500, 0.309], [0.766, 0.000, 0.309]], "volume_a3_per_atom": 18.696, "magnetic_moment_mub_per_cell": 0.00, "formation_energy_ev_per_fu": 1.26, "rho_g_cm3": 9.904}

---

No. 5
{"formula": "Na2BePt2", "functional": "GGA-PBEsol", "state": "relaxed", "lattice": [[5.887, 0.000, 0.000], [0.000, 5.887, 0.000], [0.000, 0.000, 4.829]], "species": ["Na", "Na", "Na", "Na", "Be", "Be", "Pt", "Pt", "Pt", "Pt"], "frac_coords": [[0.169, 0.331, 0.000], [0.331, 0.831, 0.000], [0.669, 0.169, 0.000], [0.831, 0.669, 0.000], [0.000, 0.000, 0.500], [0.500, 0.500, 0.500], [0.154, 0.654, 0.500], [0.346, 0.154, 0.500], [0.654, 0.846, 0.500], [0.846, 0.346, 0.500]], "volume_a3_per_atom": 16.736, "magnetic_moment_mub_per_cell": 0.00, "formation_energy_ev_per_fu": -1.29, "rho_g_cm3": 8.834}

---

No. 6
{"formula": "BaLiSb", "functional": "GGA-PBEsol", "state": "relaxed", "lattice": [[4.888, 0.000, 0.000], [-2.444, 4.233, 0.000], [0.000, 0.000, 8.977]], "species": ["Ba", "Ba", "Li", "Li", "Sb", "Sb"], "frac_coords": [[0.000, 0.000, 0.000], [0.000, 0.000, 0.500], [0.333, 0.667, 0.250], [0.667, 0.333, 0.750], [0.333, 0.667, 0.750], [0.667, 0.333, 0.250]], "volume_a3_per_atom": 30.961, "magnetic_moment_mub_per_cell": 0.00, "final_energy_ha_per_atom": -0.141, "rho_g_cm3": 4.756}

---

No. 7
{"formula": "Si19Te8", "functional": "GGA-PBEsol", "state": "relaxed", "lattice": [[7.363, 4.251, 6.064], [-7.363, 4.251, 6.064], [0.000, -8.502, 6.064]], "species": ["Si", "Si", "Si", "Si", "Si", "Si", "Si", "Si", "Si", "Si", "Si", "Si", "Si", "Si", "Si", "Si", "Si", "Si", "Si", "Si", "Si", "Si", "Si", "Si", "Si", "Si", "Si", "Si", "Si", "Si", "Si", "Si", "Si", "Si", "Si", "Si", "Si", "Si", "Te", "Te", "Te", "Te", "Te", "Te", "Te", "Te", "Te", "Te", "Te", "Te", "Te", "Te", "Te", "Te"], "frac_coords": [[0.000, 0.000, 0.000], [0.026, 0.682, 0.691], [0.037, 0.243, 0.377], [0.039, 0.468, 0.354], [0.099, 0.353, 0.864], [0.182, 0.526, 0.191], [0.189, 0.825, 0.740], [0.191, 0.182, 0.526], [0.208, 0.932, 0.939], [0.240, 0.325, 0.689], [0.243, 0.377, 0.037], [0.325, 0.689, 0.240], [0.353, 0.864, 0.099], [0.354, 0.039, 0.468], [0.364, 0.853, 0.599], [0.377, 0.037, 0.243], [0.432, 0.708, 0.439], [0.439, 0.432, 0.708], [0.468, 0.354, 0.039], [0.500, 0.500, 0.500], [0.526, 0.191, 0.182], [0.537, 0.877, 0.743], [0.539, 0.854, 0.968], [0.599, 0.364, 0.853], [0.682, 0.691, 0.026], [0.689, 0.240, 0.325], [0.691, 0.026, 0.682], [0.708, 0.439, 0.432], [0.740, 0.189, 0.825], [0.743, 0.537, 0.877], [0.825, 0.740, 0.189], [0.853, 0.599, 0.364], [0.854, 0.968, 0.539], [0.864, 0.099, 0.353], [0.877, 0.743, 0.537], [0.932, 0.939, 0.208], [0.939, 0.208, 0.932], [0.968, 0.539, 0.854], [0.041, 0.677, 0.048], [0.048, 0.041, 0.677], [0.112, 0.847, 0.355], [0.168, 0.168, 0.168], [0.177, 0.541, 0.548], [0.347, 0.612, 0.855], [0.355, 0.112, 0.847], [0.356, 0.356, 0.356], [0.541, 0.548, 0.177], [0.548, 0.177, 0.541], [0.612, 0.855, 0.347], [0.668, 0.668, 0.668], [0.677, 0.048, 0.041], [0.847, 0.355, 0.112], [0.855, 0.347, 0.612], [0.856, 0.856, 0.856]], "volume_a3_per_atom": 21.088, "magnetic_moment_mub_per_cell": 0.00, "final_energy_ha_per_atom": -0.188, "rho_g_cm3": 4.533}

---

No. 8
{"formula": "ScAsPb3", "functional": "GGA-PBEsol", "state": "relaxed", "lattice": [[5.432, 0.000, 0.000], [0.000, 5.432, 0.000], [0.000, 0.000, 5.432]], "species": ["Sc", "As", "Pb", "Pb", "Pb"], "frac_coords": [[0.000, 0.000, 0.000], [0.500, 0.500, 0.500], [0.000, 0.500, 0.500], [0.500, 0.000, 0.500], [0.500, 0.500, 0.000]], "volume_a3_per_atom": 32.051, "magnetic_moment_mub_per_cell": 0.03, "formation_energy_ev_per_fu": 2.85, "rho_g_cm3": 7.683}

---

No. 9
{"formula": "Co2CuAu", "functional": "GGA-PBEsol", "state": "relaxed", "lattice": [[8.424, 0.000, 0.000], [0.000, 2.643, 0.000], [-0.856, 0.000, 4.467]], "species": ["Co", "Co", "Co", "Co", "Cu", "Cu", "Au", "Au"], "frac_coords": [[0.000, 0.000, 0.000], [0.239, 0.500, 0.202], [0.500, 0.500, 0.000], [0.739, 0.000, 0.202], [0.251, 0.000, 0.748], [0.751, 0.500, 0.748], [0.495, 0.000, 0.492], [0.995, 0.500, 0.492]], "volume_a3_per_atom": 12.432, "magnetic_moment_mub_per_cell": 6.46, "formation_energy_ev_per_fu": 0.81, "rho_g_cm3": 12.635}

---

No. 10
{"formula": "Y2ScP", "functional": "GGA-PBEsol", "state": "relaxed", "lattice": [[4.188, 0.000, 0.000], [0.000, 3.956, 0.000], [0.000, 0.000, 11.171]], "species": ["Y", "Y", "Y", "Y", "Sc", "Sc", "P", "P"], "frac_coords": [[0.000, 0.000, 0.000], [0.000, 0.500, 0.500], [0.500, 0.000, 0.297], [0.500, 0.500, 0.797], [0.500, 0.000, 0.584], [0.500, 0.500, 0.084], [0.000, 0.000, 0.723], [0.000, 0.500, 0.223]], "volume_a3_per_atom": 23.132, "magnetic_moment_mub_per_cell": 0.00, "formation_energy_ev_per_fu": -2.81, "rho_g_cm3": 4.554}

---

No. 11
{"formula": "HgPt4", "functional": "GGA-PBEsol", "state": "relaxed", "lattice": [[5.868, 0.000, 0.000], [0.000, 5.868, 0.000], [0.000, 0.000, 5.868]], "species": ["Hg", "Hg", "Pt", "Pt", "Pt", "Pt", "Pt", "Pt", "Pt", "Pt"], "frac_coords": [[0.000, 0.000, 0.000], [0.500, 0.500, 0.500], [0.250, 0.250, 0.250], [0.250, 0.250, 0.750], [0.250, 0.750, 0.250], [0.250, 0.750, 0.750], [0.750, 0.250, 0.250], [0.750, 0.250, 0.750], [0.750, 0.750, 0.250], [0.750, 0.750, 0.750]], "volume_a3_per_atom": 20.204, "magnetic_moment_mub_per_cell": 0.00, "de_polymorph_mev_per_atom": 1043, "formation_energy_ev_per_fu": 5.44, "rho_g_cm3": 16.124}

---

No. 12
{"formula": "KCdRe2Ir", "functional": "GGA-PBEsol", "state": "relaxed", "lattice": [[4.988, 0.000, 0.000], [0.000, 4.988, 0.000], [0.000, 0.000, 4.956]], "species": ["K", "Cd", "Re", "Re", "Ir"], "frac_coords": [[0.000, 0.000, 0.000], [0.500, 0.500, 0.500], [0.000, 0.500, 0.500], [0.500, 0.000, 0.500], [0.500, 0.500, 0.000]], "volume_a3_per_atom": 24.658, "magnetic_moment_mub_per_cell": 5.46, "formation_energy_ev_per_fu": 14.52, "rho_g_cm3": 9.646}